[1]
Below is an optimized crystal structure of AgICl2, with properties calculated at the GGA-PBE level.

Summary:
* E above lowest polymorph: 0.00 eV per formula unit
* crystal system: trigonal
* VASP energy: -2.2820 eV per atom
* space group: No. 166
* D(E_F): 0.00 states/eV per cell
* size of the total moment: 0.00 μB/atom
* formation energy from raw total energies: -0.258 eV per atom

Cell: 8.238 8.238 8.238 Å, 30.14 30.14 30.14°
Positions (direct):
1 Ag 0.000 0.000 0.000
2 I 0.500 0.500 0.500
3 Cl 0.390 0.390 0.390
4 Cl 0.610 0.610 0.610



[2]
Below is an optimized crystal structure of TaZnHg2, with properties calculated at the GGA-PBE level.

Summary:
* crystal system: orthorhombic
* VASP energy: -3.1042 eV per atom
* space group: No. 65
* D(E_F): 2.79 states/eV per cell
* size of the total moment: 0.00 μB/atom

Cell: 5.335 5.335 2.937 Å, 90.00 90.00 112.35°
Positions (direct):
1 Ta 0.000 0.000 0.000
2 Zn 0.500 0.500 0.000
3 Hg 0.000 0.500 0.500
4 Hg 0.500 0.000 0.500



[3]
Below is an optimized crystal structure of Sn2Pb3, with properties calculated at the GGA-PBE level.

Summary:
* E above lowest polymorph: 0.15 eV per formula unit
* crystal system: monoclinic
* VASP energy: -3.7495 eV per atom
* space group: No. 12
* D(E_F): 4.21 states/eV per cell
* size of the total moment: 0.00 μB/atom

Cell: 8.209 8.209 9.163 Å, 95.44 95.44 31.07°
Positions (direct):
1 Sn 0.188 0.188 0.431
2 Sn 0.257 0.257 0.120
3 Sn 0.743 0.743 0.880
4 Sn 0.812 0.812 0.569
5 Pb 0.077 0.077 0.888
6 Pb 0.406 0.406 0.809
7 Pb 0.412 0.412 0.391
8 Pb 0.588 0.588 0.609
9 Pb 0.594 0.594 0.191
10 Pb 0.923 0.923 0.112



[4]
Below is an optimized crystal structure of SbRhBr2, with properties calculated at the GGA-PBE level.

Summary:
* E above lowest polymorph: 3.57 eV per formula unit
* crystal system: tetragonal
* VASP energy: -3.2534 eV per atom
* space group: No. 123
* D(E_F): 4.64 states/eV per cell
* size of the total moment: 0.45 μB/atom
* formation energy from raw total energies: 0.451 eV per atom

Cell: 3.272 3.272 8.850 Å, 90.00 90.00 90.00°
Positions (direct):
1 Sb 0.000 0.000 0.000
2 Rh 0.000 0.000 0.500
3 Br 0.500 0.500 0.311
4 Br 0.500 0.500 0.689



[5]
Below is an optimized crystal structure of AlTe2Se, with properties calculated at the GGA-PBE level.

Summary:
* crystal system: monoclinic
* VASP energy: -3.5931 eV per atom
* space group: No. 6
* D(E_F): 0.17 states/eV per cell
* size of the total moment: 0.00 μB/atom
* formation energy from raw total energies: -0.215 eV per atom

Cell: 5.602 3.491 5.703 Å, 90.00 103.00 90.00°
Positions (direct):
1 Al 0.000 0.000 0.000
2 Te 0.089 0.000 0.497
3 Te 0.416 0.500 0.178
4 Se 0.694 0.500 0.844



[6]
Below is an optimized crystal structure of NiGeBi3, with properties calculated at the GGA-PBE level.

Summary:
* E above lowest polymorph: 0.00 eV per formula unit
* crystal system: cubic
* VASP energy: -3.9880 eV per atom
* space group: No. 221
* D(E_F): 3.17 states/eV per cell
* size of the total moment: 0.00 μB/atom

Cell: 5.170 5.170 5.170 Å, 90.00 90.00 90.00°
Positions (direct):
1 Ni 0.000 0.000 0.000
2 Ge 0.500 0.500 0.500
3 Bi 0.000 0.000 0.500
4 Bi 0.000 0.500 0.000
5 Bi 0.500 0.000 0.000



[7]
Below is an optimized crystal structure of TcBr2, with properties calculated at the GGA-PBE level.

Summary:
* E above lowest polymorph: 1.01 eV per formula unit
* crystal system: monoclinic
* VASP energy: -4.5398 eV per atom
* space group: No. 12
* D(E_F): 2.50 states/eV per cell
* size of the total moment: 0.76 μB/atom
* formation energy from raw total energies: 0.031 eV per atom

Cell: 7.356 7.356 9.283 Å, 125.29 125.29 27.52°
Positions (direct):
1 Tc 0.200 0.200 0.360
2 Tc 0.800 0.800 0.640
3 Br 0.253 0.253 0.796
4 Br 0.438 0.438 0.655
5 Br 0.562 0.562 0.345
6 Br 0.747 0.747 0.204



[8]
Below is an optimized crystal structure of K2SrBi2, with properties calculated at the GGA-PBE level.

Summary:
* E above lowest polymorph: 0.69 eV per formula unit
* crystal system: tetragonal
* VASP energy: -2.6425 eV per atom
* space group: No. 127
* D(E_F): 6.35 states/eV per cell
* size of the total moment: 0.00 μB/atom

Cell: 9.996 9.996 3.816 Å, 90.00 90.00 90.00°
Positions (direct):
1 K 0.112 0.388 0.000
2 K 0.388 0.888 0.000
3 K 0.612 0.112 0.000
4 K 0.888 0.612 0.000
5 Sr 0.000 0.000 0.000
6 Sr 0.500 0.500 0.000
7 Bi 0.188 0.688 0.500
8 Bi 0.312 0.188 0.500
9 Bi 0.688 0.812 0.500
10 Bi 0.812 0.312 0.500



[9]
Below is an optimized crystal structure of NaLiHoCl5, with properties calculated at the GGA-PBE level.

Summary:
* crystal system: monoclinic
* VASP energy: -4.1649 eV per atom
* space group: No. 15
* D(E_F): 0.00 states/eV per cell
* size of the total moment: 0.00 μB/atom
* formation energy from raw total energies: -2.034 eV per atom

Cell: 7.303 7.303 9.720 Å, 102.31 102.31 112.39°
Positions (direct):
1 Na 0.107 0.893 0.750
2 Na 0.893 0.107 0.250
3 Li 0.203 0.797 0.250
4 Li 0.797 0.203 0.750
5 Ho 0.500 0.500 0.000
6 Ho 0.500 0.500 0.500
7 Cl 0.101 0.249 0.939
8 Cl 0.168 0.530 0.360
9 Cl 0.249 0.101 0.439
10 Cl 0.409 0.591 0.750
11 Cl 0.470 0.832 0.140
12 Cl 0.530 0.168 0.860
13 Cl 0.591 0.409 0.250
14 Cl 0.751 0.899 0.561
15 Cl 0.832 0.470 0.640
16 Cl 0.899 0.751 0.061



[10]
Below is an optimized crystal structure of ReSN2F, with properties calculated at the GGA-PBE level.

Summary:
* E above lowest polymorph: 9.83 eV per formula unit
* crystal system: tetragonal
* VASP energy: -4.6151 eV per atom
* space group: No. 123
* D(E_F): 4.20 states/eV per cell
* size of the total moment: 0.08 μB/atom
* formation energy from raw total energies: 2.404 eV per atom

Cell: 3.812 3.812 3.840 Å, 90.00 90.00 90.00°
Positions (direct):
1 Re 0.000 0.000 0.000
2 S 0.500 0.500 0.000
3 N 0.000 0.500 0.500
4 N 0.500 0.000 0.500
5 F 0.500 0.500 0.500



[11]
Below is an optimized crystal structure of UB6Rh12, with properties calculated at the GGA-PBE level.

Summary:
* crystal system: trigonal
* VASP energy: -7.6432 eV per atom
* space group: No. 166
* D(E_F): 18.07 states/eV per cell
* size of the total moment: 0.07 μB/atom

Cell: 6.491 6.491 6.491 Å, 104.51 104.51 104.51°
Positions (direct):
1 U 0.000 0.000 0.000
2 B 0.233 0.233 0.669
3 B 0.233 0.669 0.233
4 B 0.331 0.767 0.767
5 B 0.669 0.233 0.233
6 B 0.767 0.331 0.767
7 B 0.767 0.767 0.331
8 Rh 0.134 0.500 0.866
9 Rh 0.134 0.866 0.500
10 Rh 0.184 0.444 0.444
11 Rh 0.444 0.184 0.444
12 Rh 0.444 0.444 0.184
13 Rh 0.500 0.134 0.866
14 Rh 0.500 0.866 0.134
15 Rh 0.556 0.556 0.816
16 Rh 0.556 0.816 0.556
17 Rh 0.816 0.556 0.556
18 Rh 0.866 0.134 0.500
19 Rh 0.866 0.500 0.134



[12]
Below is an optimized crystal structure of PIrS2Cl, with properties calculated at the GGA-PBE level.

Summary:
* E above lowest polymorph: 0.00 eV per formula unit
* crystal system: tetragonal
* VASP energy: -4.2266 eV per atom
* space group: No. 123
* D(E_F): 5.69 states/eV per cell
* size of the total moment: 0.00 μB/atom
* formation energy from raw total energies: 0.648 eV per atom

Cell: 4.640 4.640 4.760 Å, 90.00 90.00 90.00°
Positions (direct):
1 P 0.000 0.000 0.000
2 Ir 0.000 0.000 0.500
3 S 0.000 0.500 0.500
4 S 0.500 0.000 0.500
5 Cl 0.500 0.500 0.000